# Li2NdNiF8

A relaxed structure of Li2NdNiF8 (PBE+U, Alexandria via LeMat-Bulk).

Properties
Calculated total energy (eV/atom): -5.023

The structure in CIF format:
```
data_Li2NdNiF8
_chemical_formula_sum 'Li2 Nd1 Ni1 F8'
_cell_length_a 4.3737
_cell_length_b 4.9137
_cell_length_c 7.0012
_cell_angle_alpha 95.02
_cell_angle_beta 90.27
_cell_angle_gamma 92.53
_symmetry_space_group_name_H-M 'P -1'
_symmetry_Int_Tables_number 2
loop_
_symmetry_equiv_pos_as_xyz
'x,y,z'
'-x,-y,-z'
loop_
_atom_site_label
_atom_site_type_symbol
_atom_site_fract_x
_atom_site_fract_y
_atom_site_fract_z
_atom_site_occupancy
Li1 Li 0.0307 0.4698 0.2979 1
Nd1 Nd 0.5000 0.0000 0.0000 1
Ni1 Ni 0.5000 0.0000 0.5000 1
F1 F 0.0957 0.2672 0.0478 1
F2 F 0.1885 0.2523 0.5106 1
F3 F 0.3313 0.7758 0.2723 1
F4 F 0.3328 0.7871 0.6990 1
```